Below is crystalline MnOF at its relaxed geometry, with properties calculated at the PBE+U level.

Unit cell a=2.929 b=9.222 c=3.313 alpha=95.74 beta=116.24 gamma=90.29
Each line ends with the local moment (μB).
Element x y z (fractional)
Mn1 0.267 0.774 0.043  3.97
F1 0.862 0.645 0.238  0.01
F2 0.138 0.355 0.762  0.01
Mn2 0.733 0.226 0.957  3.97
O1 0.619 0.856 0.745  -0.09
O2 0.381 0.144 0.255  -0.09

Values from the calculation:
VASP energy (eV per cell): -39.64
Symmetry: No. 2